No. 1
# Hf2Zr4Pd | the Alexandria database | PBE | relaxed
# - Uncorrected energy: -108.52 eV for the cell shown
data_Hf2Zr4Pd
_chemical_formula_sum 'Hf4 Zr8 Pd2'
_space_group_name_H-M_alt 'I 4/m m m'
_space_group_IT_number 139
_space_group_name_Hall '-I 4 2'
_cell_length_a 5.0488
_cell_length_b 5.0488
_cell_length_c 14.1100
_cell_angle_alpha 90.00
_cell_angle_beta 90.00
_cell_angle_gamma 90.00
loop_
_atom_site_label
_atom_site_fract_x
_atom_site_fract_y
_atom_site_fract_z
Hf1 0.0000 0.0000 0.1139
Zr1 0.0000 0.0000 0.3085
Zr2 0.0000 0.5000 0.0000
Pd1 0.0000 0.0000 0.5000

***

No. 2
# HfZr2Pd2 | the Alexandria database | PBE | relaxed
# - E above lowest polymorph: 0.0143 eV per atom
# - Uncorrected energy: -159.20 eV for the cell shown
data_HfZr2Pd2
_chemical_formula_sum 'Hf4 Zr8 Pd8'
_space_group_name_H-M_alt 'P n m a'
_space_group_IT_number 62
_cell_length_a 6.0080
_cell_length_b 4.7464
_cell_length_c 13.6854
_cell_angle_alpha 90.00
_cell_angle_beta 90.00
_cell_angle_gamma 90.00
loop_
_space_group_symop_operation_xyz
'x,y,z'
'-x,-y,-z'
'-x+1/2,-y,z+1/2'
'x+1/2,y,-z+1/2'
'x+1/2,-y+1/2,-z+1/2'
'-x+1/2,y+1/2,z+1/2'
'-x,y+1/2,-z'
'x,-y+1/2,z'
loop_
_atom_site_label
_atom_site_fract_x
_atom_site_fract_y
_atom_site_fract_z
Hf1 0.1673 0.2500 0.0426
Zr1 0.0403 0.7500 0.3474
Zr2 0.1502 0.7500 0.7699
Pd1 0.0801 0.7500 0.1385
Pd2 0.1299 0.2500 0.4583

***

No. 3
# Hf3ZrPd | the Alexandria database | PBE | relaxed
# - E above lowest polymorph: 0.0862 eV per atom
# - Uncorrected energy: -176.99 eV for the cell shown
data_Hf3ZrPd
_chemical_formula_sum 'Hf12 Zr4 Pd4'
_space_group_name_H-M_alt 'C 1 2/m 1'
_space_group_IT_number 12
_cell_length_a 14.9810
_cell_length_b 3.1697
_cell_length_c 9.2867
_cell_angle_alpha 90.00
_cell_angle_beta 105.56
_cell_angle_gamma 90.00
loop_
_space_group_symop_operation_xyz
'x,y,z'
'-x,-y,-z'
'-x,y,-z'
'x,-y,z'
'x+1/2,y+1/2,z'
'-x+1/2,-y+1/2,-z'
'-x+1/2,y+1/2,-z'
'x+1/2,-y+1/2,z'
loop_
_atom_site_label
_atom_site_fract_x
_atom_site_fract_y
_atom_site_fract_z
Hf1 0.0915 0.0000 0.1387
Hf2 0.1499 0.5000 0.4828
Hf3 0.1652 0.5000 0.9063
Zr1 0.0306 0.0000 0.6595
Pd1 0.2504 0.0000 0.7325

***

No. 4
# Hf2Zr2Pd | the Alexandria database | PBE | relaxed
# - E above lowest polymorph: 0.3018 eV per atom
# - Uncorrected energy: -83.91 eV for the cell shown
data_Hf2Zr2Pd
_chemical_formula_sum 'Hf4 Zr4 Pd2'
_space_group_name_H-M_alt 'P 4/m b m'
_space_group_IT_number 127
_space_group_name_Hall '-P 4 2ab'
_cell_length_a 6.9888
_cell_length_b 6.9888
_cell_length_c 4.6010
_cell_angle_alpha 90.00
_cell_angle_beta 90.00
_cell_angle_gamma 90.00
loop_
_atom_site_label
_atom_site_fract_x
_atom_site_fract_y
_atom_site_fract_z
Hf1 0.1517 0.3483 0.0000
Zr1 0.1485 0.6485 0.5000
Pd1 0.0000 0.0000 0.5000

***

Mass density? In order: 7.6, 9.8, 11.5, 9.5 Mg/m³.
Formation enthalpy at 0 K? In order: 69, -46, -12, 5 kJ/mol of atoms.
N(E_F)? In order: 1.253, 1.098, 1.213, 0.675 states/eV/atom.